Entry 1:
## RbHfN2 (GGA-PBE)

Data for crystalline RbHfN2 at its relaxed geometry.

Results
**Calculated volume**: 13.81 Å³ per atom
**Crystal system**: cubic
**Total magnetization**: 0.000 μB/cell
**Electronic total energy**: -0.2197 hartree per atom
**Formation energy without anion corrections**: 914 meV per atom
**Space group**: Fm-3m (225)
**Distance to the lowest polymorph of the same formula**: 1539 meV/atom

```
RbHfN2
1.0
6.046 0.000 0.000
0.000 6.046 0.000
0.000 0.000 6.046
Rb Hf N
4 4 8
Cartesian
0.000 0.000 0.000
0.000 3.023 3.023
3.023 0.000 3.023
3.023 3.023 0.000
0.000 0.000 3.023
0.000 3.023 0.000
3.023 0.000 0.000
3.023 3.023 3.023
1.511 1.511 1.511
1.511 1.511 4.534
1.511 4.534 1.511
1.511 4.534 4.534
4.534 1.511 1.511
4.534 1.511 4.534
4.534 4.534 1.511
4.534 4.534 4.534
```


Entry 2:
## Rb2HfN (GGA-PBE)

Data for crystalline Rb2HfN at its relaxed geometry.

Results
**Calculated volume**: 44.20 Å³ per atom
**Crystal system**: tetragonal
**Total magnetization**: 2.678 μB/cell
**Electronic total energy**: -0.1792 hartree per atom
**Formation energy without anion corrections**: 176 meV per atom
**Space group**: I-42d (122)

```
Rb2HfN
1.0
13.100 0.000 0.000
0.000 13.100 0.000
0.000 0.000 4.121
Rb Hf N
8 4 4
Cartesian
0.893 3.275 0.515
3.275 7.443 1.545
3.275 12.207 3.606
5.657 3.275 2.576
7.443 9.825 2.576
9.825 0.893 3.606
9.825 5.657 1.545
12.207 9.825 0.515
0.000 0.000 2.061
0.000 6.550 3.091
6.550 0.000 1.030
6.550 6.550 0.000
0.000 0.000 0.000
0.000 6.550 1.030
6.550 0.000 3.091
6.550 6.550 2.061
```


Entry 3:
## RbHfReN4 (GGA-PBE)

Data for crystalline RbHfReN4 at its relaxed geometry.

Results
**Calculated volume**: 18.81 Å³ per atom
**Crystal system**: monoclinic
**Total magnetization**: 0.000 μB/cell
**Electronic total energy**: -0.3187 hartree per atom
**Formation energy without anion corrections**: -576 meV per atom
**Space group**: P2_1/m (11)

```
RbHfReN4
1.0
5.770 0.000 0.000
0.000 6.062 0.000
-2.363 0.000 7.530
Rb Hf Re N
2 2 2 8
Cartesian
0.260 1.516 3.319
3.147 4.547 4.211
-0.389 1.516 7.217
3.795 4.547 0.313
0.885 4.547 0.997
2.521 1.516 6.533
-0.626 4.547 2.042
-0.115 1.516 0.584
2.138 3.154 1.090
2.138 5.939 1.090
1.268 0.123 6.440
1.268 2.908 6.440
3.521 4.547 6.946
4.032 1.516 5.488
```


Entry 4:
## Rb2HfRuN (GGA-PBE)

Data for crystalline Rb2HfRuN at its relaxed geometry.

Results
**Calculated volume**: 28.35 Å³ per atom
**Crystal system**: tetragonal
**Total magnetization**: 0.000 μB/cell
**Electronic total energy**: -0.1748 hartree per atom
**Formation energy without anion corrections**: 1141 meV per atom
**Space group**: P4/mmm (123)

```
Rb2HfRuN
1.0
6.168 0.000 0.000
0.000 6.168 0.000
0.000 0.000 3.725
Rb Hf Ru N
2 1 1 1
Cartesian
0.000 3.084 0.000
3.084 0.000 0.000
0.000 0.000 1.863
3.084 3.084 1.863
3.084 3.084 0.000
```


Entry 5:
## RbHfS2N (GGA-PBE)

Data for crystalline RbHfS2N at its relaxed geometry.

Results
**Calculated volume**: 22.05 Å³ per atom
**Crystal system**: tetragonal
**Total magnetization**: 0.000 μB/cell
**Electronic total energy**: -0.1364 hartree per atom
**Formation energy without anion corrections**: 1788 meV per atom
**Space group**: P4/mmm (123)
**Distance to the lowest polymorph of the same formula**: 2506 meV/atom

```
RbHfS2N
1.0
5.191 0.000 0.000
0.000 5.191 0.000
0.000 0.000 4.090
Rb Hf S N
1 1 2 1
Cartesian
0.000 0.000 0.000
2.596 2.596 2.045
0.000 2.596 0.000
2.596 0.000 0.000
0.000 0.000 2.045
```


Entry 6:
## RbHfSN2 (GGA-PBE)

Data for crystalline RbHfSN2 at its relaxed geometry.

Results
**Calculated volume**: 19.77 Å³ per atom
**Crystal system**: tetragonal
**Total magnetization**: 3.007 μB/cell
**Electronic total energy**: -0.2396 hartree per atom
**Formation energy without anion corrections**: -180 meV per atom
**Space group**: P4/mmm (123)
**Distance to the lowest polymorph of the same formula**: 0 meV/atom

```
RbHfSN2
1.0
4.423 0.000 0.000
0.000 4.423 0.000
0.000 0.000 5.053
Rb Hf S N
1 1 1 2
Cartesian
0.000 0.000 0.000
2.211 2.211 2.527
2.211 2.211 0.000
0.000 2.211 2.527
2.211 0.000 2.527
```


Entry 7:
## RbHfSN2 (GGA-PBE)

Data for crystalline RbHfSN2 at its relaxed geometry.

Results
**Calculated volume**: 18.24 Å³ per atom
**Crystal system**: tetragonal
**Total magnetization**: 0.335 μB/cell
**Electronic total energy**: -0.1524 hartree per atom
**Formation energy without anion corrections**: 2193 meV per atom
**Space group**: P4/mmm (123)
**Distance to the lowest polymorph of the same formula**: 2373 meV/atom

```
RbHfSN2
1.0
4.094 0.000 0.000
0.000 4.094 0.000
0.000 0.000 5.444
Rb Hf S N
1 1 1 2
Cartesian
0.000 0.000 0.000
2.047 2.047 2.722
0.000 0.000 2.722
0.000 2.047 0.000
2.047 0.000 0.000
```


Entry 8:
## RbHfS2N (GGA-PBE)

Data for crystalline RbHfS2N at its relaxed geometry.

Results
**Calculated volume**: 22.52 Å³ per atom
**Crystal system**: tetragonal
**Total magnetization**: 1.927 μB/cell
**Electronic total energy**: -0.2285 hartree per atom
**Formation energy without anion corrections**: -718 meV per atom
**Space group**: P4/mmm (123)
**Distance to the lowest polymorph of the same formula**: 0 meV/atom

```
RbHfS2N
1.0
5.099 0.000 0.000
0.000 5.099 0.000
0.000 0.000 4.331
Rb Hf S N
1 1 2 1
Cartesian
0.000 0.000 0.000
2.550 2.550 2.165
0.000 2.550 2.165
2.550 0.000 2.165
2.550 2.550 0.000
```


Entry 9:
## RbHfSeN2 (GGA-PBE)

Data for crystalline RbHfSeN2 at its relaxed geometry.

Results
**Calculated volume**: 19.69 Å³ per atom
**Crystal system**: tetragonal
**Total magnetization**: 0.000 μB/cell
**Electronic total energy**: -0.1464 hartree per atom
**Formation energy without anion corrections**: 2227 meV per atom
**Space group**: P4/mmm (123)
**Distance to the lowest polymorph of the same formula**: 2319 meV/atom

```
RbHfSeN2
1.0
4.167 0.000 0.000
0.000 4.167 0.000
0.000 0.000 5.669
Rb Hf Se N
1 1 1 2
Cartesian
0.000 0.000 0.000
2.084 2.084 2.834
0.000 0.000 2.834
0.000 2.084 0.000
2.084 0.000 0.000
```


Entry 10:
## RbHfSeN2 (GGA-PBE)

Data for crystalline RbHfSeN2 at its relaxed geometry.

Results
**Calculated volume**: 20.92 Å³ per atom
**Crystal system**: tetragonal
**Total magnetization**: 3.013 μB/cell
**Electronic total energy**: -0.2316 hartree per atom
**Formation energy without anion corrections**: -91 meV per atom
**Space group**: P4/mmm (123)
**Distance to the lowest polymorph of the same formula**: 0 meV/atom

```
RbHfSeN2
1.0
4.445 0.000 0.000
0.000 4.445 0.000
0.000 0.000 5.295
Rb Hf Se N
1 1 1 2
Cartesian
0.000 0.000 0.000
2.222 2.222 2.647
2.222 2.222 0.000
0.000 2.222 2.647
2.222 0.000 2.647
```


Entry 11:
## Rb2HfSiN (GGA-PBE)

Data for crystalline Rb2HfSiN at its relaxed geometry.

Results
**Calculated volume**: 52.10 Å³ per atom
**Crystal system**: tetragonal
**Total magnetization**: 0.000 μB/cell
**Electronic total energy**: -0.1174 hartree per atom
**Formation energy without anion corrections**: 1932 meV per atom
**Space group**: P4/mmm (123)

```
Rb2HfSiN
1.0
7.263 0.000 0.000
0.000 7.263 0.000
0.000 0.000 4.938
Rb Hf Si N
2 1 1 1
Cartesian
0.000 3.632 0.000
3.632 0.000 0.000
0.000 0.000 0.000
0.000 0.000 2.469
3.632 3.632 2.469
```


Entry 12:
## RbHfSiN2 (GGA-PBE)

Data for crystalline RbHfSiN2 at its relaxed geometry.

Results
**Calculated volume**: 15.16 Å³ per atom
**Crystal system**: tetragonal
**Total magnetization**: 0.000 μB/cell
**Electronic total energy**: -0.1703 hartree per atom
**Formation energy without anion corrections**: 1964 meV per atom
**Space group**: P4/mmm (123)

```
RbHfSiN2
1.0
3.912 0.000 0.000
0.000 3.912 0.000
0.000 0.000 4.952
Rb Hf Si N
1 1 1 2
Cartesian
0.000 0.000 0.000
1.956 1.956 0.000
0.000 0.000 2.476
0.000 1.956 2.476
1.956 0.000 2.476
```